Entry from the Alexandria database: a geometry-optimized NbSNF2 structure (PBE-GGA).

Results
* total moment: 2.7 μB/f.u.
* polymorph energy (0 for the lowest one): 1105.2 meV/atom
* ρ: 4.0 g/cm³
* N(E_F): 2.1 states/eV/cell

Cell: 4.796 4.796 3.192 Å, 90.00 90.00 90.00°
Element x y z (fractional)
Nb (0.000, 0.000, 0.000)
S (0.500, 0.500, 0.500)
N (0.500, 0.500, 0.000)
F (0.000, 0.500, 0.500)
F (0.500, 0.000, 0.500)

Entry from the Alexandria database: a geometry-optimized TiHPd3 structure (PBE-GGA).

Results
* total moment: 0.0 μB/f.u.
* polymorph energy (0 for the lowest one): 16.9 meV/atom
* ρ: 9.5 g/cm³
* N(E_F): 12.1 states/eV/cell

Cell: 7.300 7.300 4.904 Å, 91.81 91.81 100.73°
Element x y z (fractional)
Ti (0.042, 0.692, 0.917)
Ti (0.308, 0.958, 0.583)
Ti (0.692, 0.042, 0.417)
Ti (0.958, 0.308, 0.083)
H (0.219, 0.781, 0.250)
H (0.317, 0.683, 0.750)
H (0.683, 0.317, 0.250)
H (0.781, 0.219, 0.750)
Pd (0.056, 0.184, 0.572)
Pd (0.183, 0.561, 0.422)
Pd (0.184, 0.056, 0.072)
Pd (0.300, 0.434, 0.923)
Pd (0.434, 0.300, 0.423)
Pd (0.439, 0.817, 0.078)
Pd (0.561, 0.183, 0.922)
Pd (0.566, 0.700, 0.577)
Pd (0.700, 0.566, 0.077)
Pd (0.816, 0.944, 0.928)
Pd (0.817, 0.439, 0.578)
Pd (0.944, 0.816, 0.428)

Entry from the Alexandria database: a geometry-optimized PbSe2Br structure (PBE-GGA).

Results
* total moment: 0.0 μB/f.u.
* polymorph energy (0 for the lowest one): 203.3 meV/atom
* ρ: 5.3 g/cm³
* N(E_F): 2.7 states/eV/cell

Cell: 8.612 8.612 8.612 Å, 29.87 29.87 29.87°
Element x y z (fractional)
Pb (0.000, 0.000, 0.000)
Se (0.396, 0.396, 0.396)
Se (0.604, 0.604, 0.604)
Br (0.500, 0.500, 0.500)

Entry from the Alexandria database: a geometry-optimized Nb3CrP structure (PBE-GGA).

Results
* total moment: 0.0 μB/f.u.
* DFT formation energy: 0.92 eV per atom
* polymorph energy (0 for the lowest one): 300.6 meV/atom
* ρ: 6.2 g/cm³
* N(E_F): 3.7 states/eV/cell

Cell: 4.585 4.585 4.585 Å, 90.00 90.00 90.00°
Element x y z (fractional)
Nb (0.000, 0.000, 0.500)
Nb (0.000, 0.500, 0.000)
Nb (0.500, 0.000, 0.000)
Cr (0.000, 0.000, 0.000)
P (0.500, 0.500, 0.500)

Entry from the Alexandria database: a geometry-optimized LiCu2Pt2 structure (PBE-GGA).

Results
* total moment: 0.0 μB/f.u.
* DFT formation energy: 0.02 eV per atom
* polymorph energy (0 for the lowest one): 196.3 meV/atom
* ρ: 11.4 g/cm³
* N(E_F): 4.9 states/eV/cell

Cell: 6.827 6.827 6.827 Å, 150.63 150.63 42.02°
Element x y z (fractional)
Li (0.000, 0.000, 0.000)
Cu (0.250, 0.750, 0.500)
Cu (0.750, 0.250, 0.500)
Pt (0.398, 0.398, 0.000)
Pt (0.602, 0.602, 0.000)

Entry from the Alexandria database: a geometry-optimized Li2AsBr6 structure (PBE-GGA).

Results
* total moment: 0.0 μB/f.u.
* ρ: 3.9 g/cm³
* N(E_F): 19.4 states/eV/cell
* electronic total energy: -2.808 eV/atom

Cell: 6.428 6.428 11.833 Å, 90.00 90.00 90.00°
Element x y z (fractional)
Li (0.000, 0.000, 0.169)
Li (0.000, 0.000, 0.831)
Li (0.500, 0.500, 0.331)
Li (0.500, 0.500, 0.669)
As (0.000, 0.000, 0.500)
As (0.500, 0.500, 0.000)
Br (0.194, 0.194, 0.337)
Br (0.194, 0.194, 0.663)
Br (0.209, 0.209, 0.000)
Br (0.291, 0.709, 0.500)
Br (0.306, 0.694, 0.163)
Br (0.306, 0.694, 0.837)
Br (0.694, 0.306, 0.163)
Br (0.694, 0.306, 0.837)
Br (0.709, 0.291, 0.500)
Br (0.791, 0.791, 0.000)
Br (0.806, 0.806, 0.337)
Br (0.806, 0.806, 0.663)

Entry from the Alexandria database: a geometry-optimized CuPtC3 structure (PBE-GGA).

Results
* total moment: 0.6 μB/f.u.
* DFT formation energy: 2.66 eV per atom
* polymorph energy (0 for the lowest one): 0.0 meV/atom
* ρ: 7.6 g/cm³
* N(E_F): 5.1 states/eV/cell

Cell: 4.016 4.016 4.016 Å, 90.00 90.00 90.00°
Element x y z (fractional)
Cu (0.000, 0.000, 0.000)
Pt (0.500, 0.500, 0.500)
C (0.000, 0.500, 0.500)
C (0.500, 0.000, 0.500)
C (0.500, 0.500, 0.000)

Entry from the Alexandria database: a geometry-optimized DyErAs2 structure (PBE-GGA).

Results
* total moment: 0.0 μB/f.u.
* DFT formation energy: -1.53 eV per atom
* polymorph energy (0 for the lowest one): 0.0 meV/atom
* ρ: 8.2 g/cm³
* N(E_F): 1.0 states/eV/cell

Cell: 7.102 7.102 7.102 Å, 131.84 131.84 70.48°
Element x y z (fractional)
Dy (0.375, 0.625, 0.750)
Dy (0.625, 0.375, 0.250)
Er (0.125, 0.875, 0.250)
Er (0.875, 0.125, 0.750)
As (0.124, 0.374, 0.750)
As (0.374, 0.124, 0.250)
As (0.626, 0.876, 0.750)
As (0.876, 0.626, 0.250)